DFT (PBE+U) results for a geometry-optimized Cd2FeSnO4 structure.

For the total energy, the calculation gives -160.0 eV per cell.

The space group is Fmm2 (No. 42) and the conventional cell measures 7.0164, 7.8310 and 9.2342 Å, with angles of 90.00, 90.00 and 90.00 degrees. The distinct sites, in fractional coordinates, are Cd at (0.2500, 0.2500, 0.0000), Fe at (0.0000, 0.0000, 0.2390), Sn at (0.0000, 0.0000, 0.7798), O at (0.0000, 0.2225, 0.3457) and O at (0.2334, 0.0000, 0.6324).